#1
RbAcPd2 PBE-GGA relaxed; SG = R-3m; magnetic moment = 0.000 μB per atom; N(E_F) = 0.97 states/eV/f.u.
1.0
4.324 0.000 0.000
2.162 3.745 0.000
2.162 1.248 8.377
Ac Pd Rb
1 2 1
Direct
0.000 0.000 0.000
0.734 0.734 0.797
0.266 0.266 0.203
0.500 0.500 0.500

---

#2
RbAcPd2 PBE-GGA relaxed; SG = P4/mmm; magnetic moment = 0.000 μB per atom; N(E_F) = 3.61 states/eV/f.u.
1.0
-1.893 0.662 -3.317
-3.371 -0.686 1.787
-0.606 8.081 1.958
Rb Pd Ac
1 2 1
Direct
0.500 0.500 0.500
0.000 0.000 0.815
0.000 0.000 0.185
0.500 0.500 0.000

---

Verdict on stability: #2 comes out on top.

---

#1
Ac4PdRh PBE-GGA relaxed; SG = P2_1/m; magnetic moment = 0.000 μB per atom; N(E_F) = 6.38 states/eV/f.u.
1.0
-2.867 -6.131 0.952
3.387 -2.557 -6.267
8.046 1.618 3.688
Ac Pd Rh
8 2 2
Direct
0.260 0.001 0.757
0.740 0.501 0.243
0.156 0.750 0.108
0.332 0.250 0.383
0.668 0.750 0.617
0.740 0.999 0.243
0.260 0.499 0.757
0.844 0.250 0.892
0.845 0.250 0.552
0.155 0.750 0.448
0.662 0.750 0.946
0.338 0.250 0.054

---

#2
Ac4PdRh PBE-GGA relaxed; SG = C2/c; magnetic moment = 0.000 μB per atom; N(E_F) = 6.34 states/eV/f.u.
1.0
-1.159 4.940 -5.494
2.421 -6.398 -3.104
-8.544 -1.919 3.587
Rh Ac Pd
2 8 2
Direct
0.824 0.074 0.148
0.176 0.926 0.852
0.188 0.427 0.388
0.948 0.191 0.893
0.555 0.298 0.107
0.052 0.809 0.107
0.445 0.702 0.893
0.700 0.961 0.388
0.300 0.039 0.612
0.812 0.573 0.612
0.672 0.422 0.844
0.328 0.578 0.156

---

Verdict on stability: #1 comes out on top.

---

#1
AcPd2Rh PBE-GGA relaxed; SG = Fm-3m; magnetic moment = 0.000 μB per atom; N(E_F) = 0.71 states/eV/f.u.
1.0
4.838 0.000 0.000
2.419 4.190 0.000
2.419 1.397 3.951
Rh Pd Ac
1 2 1
Direct
0.000 0.000 0.000
0.250 0.250 0.250
0.750 0.750 0.750
0.500 0.500 0.500

---

#2
AcPd2Rh PBE-GGA relaxed; SG = P4/mmm; magnetic moment = 0.000 μB per atom; N(E_F) = 3.92 states/eV/f.u.
1.0
-0.715 -4.034 1.453
1.836 -1.582 -3.489
3.767 0.039 1.964
Pd Ac Rh
2 1 1
Direct
0.000 0.500 0.000
0.000 0.000 0.500
0.500 0.000 0.000
0.500 0.500 0.500

---

Verdict on stability: #2 comes out on top.

---

#1
AcPdRh PBE-GGA relaxed; SG = P-6m2; magnetic moment = 0.000 μB per atom; N(E_F) = 0.79 states/eV/f.u.
1.0
4.169 0.000 0.000
0.000 4.456 0.000
0.000 -2.228 3.859
Rh Ac Pd
1 1 1
Direct
0.167 0.000 0.000
0.667 0.667 0.333
0.166 0.333 0.667

---

#2
AcPdRh PBE-GGA relaxed; SG = I4mm; magnetic moment = 0.000 μB per atom; N(E_F) = 0.96 states/eV/f.u.
1.0
-1.443 3.558 0.448
-3.137 -1.487 1.702
4.261 -0.727 2.827
Pd Ac Rh
1 1 1
Direct
0.944 0.944 0.889
0.615 0.615 0.229
0.291 0.291 0.582

---

Verdict on stability: #1 comes out on top.

---

#1
AcPdRh PBE-GGA relaxed; SG = Imma; magnetic moment = 0.000 μB per atom; N(E_F) = 2.35 states/eV/f.u.
1.0
-3.808 -1.260 1.577
2.003 -2.799 2.601
1.390 7.563 3.492
Rh Pd Ac
2 2 2
Direct
0.212 0.462 0.924
0.788 0.538 0.076
0.046 0.297 0.594
0.954 0.703 0.406
0.370 0.120 0.240
0.630 0.880 0.760

---

#2
AcPdRh PBE-GGA relaxed; SG = Imma; magnetic moment = 0.000 μB per atom; N(E_F) = 2.08 states/eV/f.u.
1.0
-0.986 -5.490 -0.585
4.917 2.130 -1.657
0.769 2.230 5.088
Rh Pd Ac
2 2 2
Direct
0.000 0.500 0.500
0.500 0.000 0.500
0.000 0.500 0.000
0.500 0.500 0.500
0.750 0.876 0.126
0.250 0.124 0.874

---

Verdict on stability: #2 comes out on top.

---

#1
Ac2PdRh2 PBE-GGA relaxed; SG = Immm; magnetic moment = 0.000 μB per atom; N(E_F) = 2.79 states/eV/f.u.
1.0
-3.567 -0.929 -2.802
-2.140 -5.261 0.644
-5.007 -0.500 2.713
Rh Ac Pd
2 2 1
Direct
0.500 0.741 0.259
0.500 0.259 0.741
0.205 0.295 0.295
0.795 0.705 0.705
0.000 0.000 0.000

---

#2
Ac2PdRh2 PBE-GGA relaxed; SG = C2/m; magnetic moment = 0.000 μB per atom; N(E_F) = 3.48 states/eV/f.u.
1.0
-0.254 2.297 3.742
2.077 -3.224 4.704
9.281 4.429 0.494
Rh Ac Pd
4 4 2
Direct
0.365 0.169 0.100
0.961 0.667 0.411
0.039 0.333 0.589
0.635 0.831 0.900
0.094 0.708 0.103
0.906 0.292 0.897
0.303 0.750 0.644
0.697 0.250 0.356
0.419 0.852 0.311
0.581 0.148 0.689

---

Verdict on stability: #1 comes out on top.

---

#1
AcSmPdRh PBE-GGA relaxed; SG = F-43m; magnetic moment = 0.000 μB per atom; N(E_F) = 2.66 states/eV/f.u.
1.0
5.158 0.000 0.000
2.579 4.467 0.000
2.579 1.489 4.211
Sm Rh Pd Ac
1 1 1 1
Direct
0.750 0.750 0.750
0.500 0.500 0.500
0.000 0.000 0.000
0.250 0.250 0.250

---

#2
AcSmPdRh PBE-GGA relaxed; SG = Amm2; magnetic moment = 0.000 μB per atom; N(E_F) = 2.35 states/eV/f.u.
1.0
-0.153 3.318 -2.267
-1.709 -2.372 -3.357
-5.101 -0.605 3.025
Pd Ac Sm Rh
1 1 1 1
Direct
0.581 0.500 0.163
0.144 0.000 0.288
0.867 0.500 0.735
0.408 0.000 0.815

---

Verdict on stability: #2 comes out on top.

---

#1
AcZnPdRh PBE-GGA relaxed; SG = Cm; magnetic moment = 0.000 μB per atom; N(E_F) = 1.55 states/eV/f.u.
1.0
-1.712 0.223 4.060
-1.038 -3.374 -2.650
5.204 -0.490 2.222
Pd Zn Ac Rh
1 1 1 1
Direct
0.408 0.817 0.867
0.121 0.241 0.004
0.614 0.229 0.484
0.823 0.646 0.112

---

#2
AcZnPdRh PBE-GGA relaxed; SG = F-43m; magnetic moment = 0.000 μB per atom; N(E_F) = 2.41 states/eV/f.u.
1.0
4.879 0.000 0.000
2.439 4.225 0.000
2.439 1.408 3.984
Rh Ac Pd Zn
1 1 1 1
Direct
0.250 0.250 0.250
0.500 0.500 0.500
0.750 0.750 0.750
0.000 0.000 0.000

---

Verdict on stability: #1 comes out on top.

---

#1
Ac3PdRu PBE-GGA relaxed; SG = C2/m; magnetic moment = 0.000 μB per atom; N(E_F) = 2.28 states/eV/f.u.
1.0
-2.346 -1.181 -3.572
-6.423 -3.859 2.743
-6.521 7.698 -1.015
Ac Pd Ru
6 2 2
Direct
0.273 0.336 0.119
0.348 0.764 0.541
0.652 0.236 0.459
0.967 0.868 0.198
0.727 0.664 0.881
0.033 0.132 0.802
0.401 0.418 0.779
0.599 0.582 0.221
0.316 0.056 0.312
0.684 0.944 0.688

---

#2
Ac3PdRu PBE-GGA relaxed; SG = P2_1/m; magnetic moment = 0.001 μB per atom; N(E_F) = 3.31 states/eV/f.u.
1.0
-0.941 2.663 -3.125
-7.085 2.657 4.399
6.430 5.761 2.974
Ac Ru Pd
6 2 2
Direct
0.750 0.073 0.331
0.750 0.272 0.979
0.250 0.728 0.021
0.750 0.601 0.360
0.250 0.927 0.669
0.250 0.399 0.640
0.750 0.178 0.677
0.250 0.822 0.323
0.250 0.327 0.251
0.750 0.673 0.749

---

Verdict on stability: #1 comes out on top.

---

#1
Ac3SbPd8 PBE-GGA relaxed; SG = P3m1; magnetic moment = 0.000 μB per atom; N(E_F) = 5.85 states/eV/f.u.
1.0
5.723 0.000 0.000
-2.861 4.956 0.000
0.000 0.000 9.176
Ac Pd Sb
3 8 1
Direct
0.333 0.667 0.919
0.000 0.000 0.118
0.333 0.667 0.520
0.667 0.333 0.992
0.338 0.169 0.748
0.000 0.500 0.235
0.500 0.000 0.235
0.831 0.662 0.748
0.831 0.169 0.748
0.500 0.500 0.235
0.667 0.333 0.487
0.000 0.000 0.514

---

#2
Ac3SbPd8 PBE-GGA relaxed; SG = R3m; magnetic moment = 0.000 μB per atom; N(E_F) = 6.93 states/eV/f.u.
1.0
-4.584 1.548 3.056
-5.073 -2.448 -1.011
-1.304 -6.818 6.857
Pd Ac Sb
8 3 1
Direct
0.192 0.192 0.424
0.440 0.440 0.169
0.943 0.426 0.688
0.951 0.440 0.169
0.690 0.690 0.929
0.426 0.943 0.688
0.440 0.951 0.169
0.943 0.943 0.688
0.516 0.516 0.451
0.381 0.381 0.857
0.981 0.981 0.056
0.847 0.847 0.459

---

Verdict on stability: #2 comes out on top.

---

#1
AcSb2Pd PBE-GGA relaxed; SG = P4/mmm; magnetic moment = 0.000 μB per atom; N(E_F) = 2.02 states/eV/f.u.
1.0
4.652 0.000 0.000
0.000 4.803 0.000
0.000 0.000 4.803
Pd Sb Ac
1 2 1
Direct
0.500 0.000 0.000
0.000 0.000 0.500
0.000 0.500 0.000
0.500 0.500 0.500

---

#2
AcSb2Pd PBE-GGA relaxed; SG = R-3m; magnetic moment = 0.000 μB per atom; N(E_F) = 4.63 states/eV/f.u.
1.0
-4.002 3.428 2.236
-1.416 -0.477 5.526
0.987 3.629 3.531
Sb Pd Ac
2 1 1
Direct
0.775 0.775 0.674
0.225 0.225 0.326
0.000 0.000 0.000
0.500 0.500 0.500

---

Verdict on stability: #1 comes out on top.

---

#1
AcSb3Pd3 PBE-GGA relaxed; SG = R-3; magnetic moment = 0.000 μB per atom; N(E_F) = 3.98 states/eV/f.u.
1.0
7.767 0.000 0.000
3.884 6.727 0.000
3.884 2.242 7.176
Pd Ac Sb
6 2 6
Direct
0.128 0.758 0.640
0.242 0.526 0.360
0.758 0.474 0.640
0.872 0.242 0.360
0.474 0.128 0.640
0.526 0.872 0.360
0.335 0.335 0.996
0.665 0.665 0.004
0.915 0.607 0.275
0.607 0.203 0.275
0.393 0.797 0.725
0.203 0.915 0.275
0.797 0.085 0.725
0.085 0.393 0.725

---

#2
AcSb3Pd3 PBE-GGA relaxed; SG = Pm-3n; magnetic moment = 0.000 μB per atom; N(E_F) = 4.50 states/eV/f.u.
1.0
7.284 0.000 0.000
0.000 7.284 0.000
0.000 0.000 7.284
Pd Sb Ac
6 6 2
Direct
0.000 0.250 0.500
0.250 0.500 0.000
0.000 0.750 0.500
0.500 0.000 0.750
0.750 0.500 0.000
0.500 0.000 0.250
0.000 0.500 0.750
0.000 0.500 0.250
0.500 0.750 0.000
0.250 0.000 0.500
0.750 0.000 0.500
0.500 0.250 0.000
0.000 0.000 0.000
0.500 0.500 0.500

---

Verdict on stability: #1 comes out on top.